Here is a geometry-optimized CrCdOs2 structure from Alexandria via LeMat-Bulk. Energies are from GGA-PBE.

Unit cell a=2.8074 b=2.8074 c=7.9993 alpha=90.00 beta=90.00 gamma=90.00
With the nearest neighbours (Å) after each atom.
Fractional coordinates of all 4 atoms:
Cd 0.0000 0.0000 0.4986  4 Cd 2.81, 4 Cr 2.98, 4 Os 2.98
Cr 0.5000 0.5000 0.7761  4 Os 2.70, 4 Cr 2.81, 4 Cd 2.98
Os 0.0000 0.0000 0.0053  8 Os 2.63-2.81, 4 Cr 2.70
Os 0.5000 0.5000 0.2201  8 Os 2.63-2.81

Summary:
**D(E_F)**: 0.692 states/eV per atom
**E_form**: 1.4 eV/f.u.

***

Here is a geometry-optimized AcHoSbSe structure from Alexandria via LeMat-Bulk. Energies are from GGA-PBE.

Unit cell a=5.2654 b=5.2654 c=11.6909 alpha=76.99 beta=76.99 gamma=60.00
With the nearest neighbours (Å) after each atom.
Fractional coordinates of all 8 atoms:
Ac 0.6151 0.6151 0.1546  4 Se 3.07-3.09
Ac 0.3849 0.3849 0.8454  4 Se 3.07-3.09
Ho 0.7955 0.7955 0.6136  1 Se 3.02, 4 Sb 3.08
Ho 0.2045 0.2045 0.3864  1 Se 3.02, 4 Sb 3.08
Sb 0.1135 0.1135 0.6594  4 Ho 3.08
Sb 0.8865 0.8865 0.3406  4 Ho 3.08
Se 0.7063 0.7063 0.8811  1 Ho 3.02, 4 Ac 3.07-3.09
Se 0.2937 0.2937 0.1189  1 Ho 3.02, 4 Ac 3.07-3.09

Summary:
**E_form (uncorrected)**: -1.28 eV per atom
**D(E_F)**: 1.102 states/eV per atom

***

Here is a geometry-optimized NbVCr2 structure from Alexandria via LeMat-Bulk. Energies are from GGA-PBE.

Unit cell a=3.0330 b=4.2573 c=4.2573 alpha=90.00 beta=90.00 gamma=90.00
With the nearest neighbours (Å) after each atom.
Fractional coordinates of all 4 atoms:
Cr 0.0000 0.0000 0.5000  4 Nb 2.61, 4 V 2.61
Cr 0.0000 0.5000 0.0000  4 Nb 2.61, 4 V 2.61
Nb 0.5000 0.5000 0.5000  8 Cr 2.61
V 0.5000 0.0000 0.0000  8 Cr 2.61

Summary:
**D(E_F)**: 1.147 states/eV per atom
**Energy above the lowest structure with this stoichiometry**: 0.019 eV per atom
**E_form**: 0.1 eV/f.u.

***

Here is a geometry-optimized CaPm3Th2As6 structure from Alexandria via LeMat-Bulk. Energies are from GGA-PBE.

Unit cell a=4.2561 b=8.5040 c=9.4938 alpha=103.04 beta=102.95 gamma=90.00
With the nearest neighbours (Å) after each atom.
Fractional coordinates of all 12 atoms:
Ca 0.5000 0.0000 0.0000  6 As 3.02
Pm 0.5000 0.5000 0.0000  6 As 2.99-3.02
Pm 0.8354 0.1657 0.6708  6 As 2.98-3.03
Pm 0.1646 0.8343 0.3292  6 As 2.98-3.03
Th 0.8359 0.6714 0.6719  6 As 2.93-3.03
Th 0.1641 0.3286 0.3281  6 As 2.93-3.03
As 0.3322 0.9149 0.6644  2 Th 2.98, 3 Pm 3.00-3.02, 1 Ca 3.02
As 0.6677 0.5821 0.3355  3 Th 3.02-3.03, 3 Pm 3.02-3.03
As 0.6678 0.0851 0.3356  2 Th 2.98, 3 Pm 3.00-3.02, 1 Ca 3.02
As 0.0010 0.2532 0.0021  1 Th 2.93, 3 Pm 2.98-2.99, 2 Ca 3.02
As 0.9990 0.7468 0.9979  1 Th 2.93, 3 Pm 2.98-2.99, 2 Ca 3.02
As 0.3323 0.4179 0.6645  3 Th 3.02-3.03, 3 Pm 3.02-3.03

Summary:
**D(E_F)**: 0.139 states/eV per atom
**E_form**: -17.5 eV/f.u.

***

Here is a geometry-optimized AcPuCdCu structure from Alexandria via LeMat-Bulk. Energies are from GGA-PBE.

Unit cell a=5.4073 b=5.4073 c=5.4073 alpha=60.00 beta=60.00 gamma=60.00
With the nearest neighbours (Å) after each atom.
Fractional coordinates of all 4 atoms:
Ac 0.0000 0.0000 0.0000  4 Cd 3.31, 4 Cu 3.31
Cd 0.7500 0.7500 0.7500  4 Pu 3.31, 4 Ac 3.31
Cu 0.2500 0.2500 0.2500  4 Ac 3.31, 4 Pu 3.31
Pu 0.5000 0.5000 0.5000  4 Cd 3.31, 4 Cu 3.31

Summary:
**D(E_F)**: 3.525 states/eV per atom
**E_form**: 0.3 eV/f.u.

***

Here is a geometry-optimized ScTlZnAu structure from Alexandria via LeMat-Bulk. Energies are from GGA-PBE.

Unit cell a=4.8091 b=4.8091 c=4.8091 alpha=60.00 beta=60.00 gamma=60.00
With the nearest neighbours (Å) after each atom.
Fractional coordinates of all 4 atoms:
Sc 0.5000 0.5000 0.5000  4 Au 2.94, 4 Tl 2.94
Tl 0.2500 0.2500 0.2500  4 Sc 2.94, 4 Zn 2.94
Au 0.7500 0.7500 0.7500  4 Sc 2.94, 4 Zn 2.94
Zn 0.0000 0.0000 0.0000  4 Tl 2.94, 4 Au 2.94

Summary:
**D(E_F)**: 0.673 states/eV per atom
**E_form**: -1.1 eV/f.u.

***

Here is a geometry-optimized ErSiS3 structure from Alexandria via LeMat-Bulk. Energies are from GGA-PBE.

Unit cell a=6.4628 b=7.1090 c=9.2470 alpha=90.00 beta=92.91 gamma=90.00
With the nearest neighbours (Å) after each atom.
Fractional coordinates of all 20 atoms:
Er 0.9531 0.6255 0.2477  6 S 2.74-2.95
Er 0.5469 0.1255 0.2523  6 S 2.74-2.95
Er 0.0469 0.3745 0.7523  6 S 2.74-2.95
Er 0.4531 0.8745 0.7477  6 S 2.74-2.95
Si 0.4177 0.6066 0.0668  3 S 2.12-2.15, 1 Si 2.26
Si 0.0823 0.1066 0.4332  3 S 2.12-2.15, 1 Si 2.26
Si 0.5823 0.3934 0.9332  3 S 2.12-2.15, 1 Si 2.26
Si 0.9177 0.8934 0.5668  3 S 2.12-2.15, 1 Si 2.26
S 0.1468 0.6744 0.5765  1 Si 2.15
S 0.3532 0.1744 0.9235  1 Si 2.15
S 0.8532 0.3256 0.4235  1 Si 2.15
S 0.6468 0.8256 0.0765  1 Si 2.15
S 0.8439 0.0248 0.7637  1 Si 2.12
S 0.6561 0.5248 0.7363  1 Si 2.12
S 0.1561 0.9752 0.2363  1 Si 2.12
S 0.3439 0.4752 0.2637  1 Si 2.12
S 0.6561 0.8081 0.4343  1 Si 2.13
S 0.8439 0.3081 0.0657  1 Si 2.13
S 0.3439 0.1919 0.5657  1 Si 2.13
S 0.1561 0.6919 0.9343  1 Si 2.13

Summary:
**E_form (uncorrected)**: -1.28 eV per atom
**D(E_F)**: 0.000 states/eV per atom
**Energy above the lowest structure with this stoichiometry**: 0.000 eV per atom

***

Here is a geometry-optimized Na2CaCoPt structure from Alexandria via LeMat-Bulk. Energies are from GGA-PBE.

Unit cell a=4.9899 b=4.7076 c=4.9899 alpha=90.00 beta=90.00 gamma=90.00
With the nearest neighbours (Å) after each atom.
Fractional coordinates of all 5 atoms:
Na 0.0000 0.0000 0.5000  2 Co 2.49
Na 0.5000 0.0000 0.0000  2 Co 2.49
Ca 0.5000 0.5000 0.5000  8 Na 3.43, 4 Pt 3.53
Co 0.0000 0.0000 0.0000  2 Pt 2.35, 4 Na 2.49
Pt 0.0000 0.5000 0.0000  2 Co 2.35

Summary:
**D(E_F)**: 0.615 states/eV per atom
**E_form**: 1.6 eV/f.u.

***

Here is a geometry-optimized TbMg11Rh structure from Alexandria via LeMat-Bulk. Energies are from GGA-PBE.

Unit cell a=5.6516 b=7.6342 c=7.7127 alpha=82.35 beta=68.51 gamma=68.70
With the nearest neighbours (Å) after each atom.
Fractional coordinates of all 13 atoms:
Tb 0.0000 0.0000 0.0000  18 Mg 3.48-3.86, 2 Rh 3.84
Mg 0.3042 0.2193 0.2023  1 Rh 2.80, 7 Mg 2.90-3.12
Mg 0.6958 0.7807 0.7977  1 Rh 2.80, 7 Mg 2.90-3.12
Mg 0.4935 0.7807 0.2023  1 Rh 2.80, 7 Mg 2.90-3.12
Mg 0.5065 0.2193 0.7977  1 Rh 2.80, 7 Mg 2.90-3.12
Mg 0.3618 0.6387 0.6691  1 Rh 2.90, 6 Mg 2.97-3.22
Mg 0.6382 0.3613 0.3309  1 Rh 2.90, 6 Mg 2.97-3.22
Mg 0.9692 0.3613 0.6691  1 Rh 2.90, 6 Mg 2.97-3.22
Mg 0.0308 0.6387 0.3309  1 Rh 2.90, 6 Mg 2.97-3.22
Mg 0.0000 0.5000 0.0000  2 Rh 2.83, 8 Mg 2.90-2.97
Mg 0.5000 0.0000 0.5000  8 Mg 2.83-3.13
Mg 0.0000 0.0000 0.5000  8 Mg 2.83-3.13
Rh 0.5000 0.5000 0.0000  10 Mg 2.80-2.90

Summary:
**D(E_F)**: 0.536 states/eV per atom
**E_form**: -1.6 eV/f.u.

***

Here is a geometry-optimized Na2LaOs structure from Alexandria via LeMat-Bulk. Energies are from GGA-PBE.

Unit cell a=5.0161 b=5.0161 c=5.0161 alpha=60.00 beta=60.00 gamma=60.00
With the nearest neighbours (Å) after each atom.
Fractional coordinates of all 4 atoms:
Na 0.2500 0.2500 0.2500  4 Os 3.07, 4 La 3.07
Na 0.7500 0.7500 0.7500  4 Os 3.07, 4 La 3.07
Os 0.5000 0.5000 0.5000  8 Na 3.07
La 0.0000 0.0000 0.0000  8 Na 3.07

Summary:
**D(E_F)**: 0.594 states/eV per atom
**Energy above the lowest structure with this stoichiometry**: 0.304 eV per atom
**E_form**: 3.4 eV/f.u.

***

Here is a geometry-optimized Ba3Hg4Pb structure from Alexandria via LeMat-Bulk. Energies are from GGA-PBE.

Unit cell a=4.8314 b=8.0878 c=9.2822 alpha=115.83 beta=105.09 gamma=90.00
With the nearest neighbours (Å) after each atom.
Fractional coordinates of all 8 atoms:
Pb 0.5000 0.0000 0.0000  4 Hg 3.28, 4 Ba 3.67
Ba 0.1728 0.1728 0.3456  6 Hg 3.46-3.52, 2 Pb 3.67
Ba 0.8272 0.8272 0.6544  6 Hg 3.46-3.52, 2 Pb 3.67
Ba 0.0000 0.5000 0.0000  8 Hg 3.59
Hg 0.3656 0.5587 0.7312  1 Hg 3.12, 1 Pb 3.28, 1 Ba 3.46
Hg 0.6344 0.4413 0.2688  1 Hg 3.12, 1 Pb 3.28, 1 Ba 3.46
Hg 0.6344 0.8275 0.2688  1 Hg 3.12, 1 Pb 3.28, 1 Ba 3.46
Hg 0.3656 0.1725 0.7312  1 Hg 3.12, 1 Pb 3.28, 1 Ba 3.46

Summary:
**D(E_F)**: 0.646 states/eV per atom
**E_form**: -3.3 eV/f.u.

***

Here is a geometry-optimized PrZn2Pt2 structure from Alexandria via LeMat-Bulk. Energies are from GGA-PBE.

Unit cell a=4.2287 b=4.2287 c=10.8144 alpha=90.00 beta=90.00 gamma=90.00
With the nearest neighbours (Å) after each atom.
Fractional coordinates of all 10 atoms:
Pr 0.5000 0.0000 0.2560  8 Zn 3.23-3.48, 8 Pt 3.25-3.38
Pr 0.0000 0.5000 0.7440  8 Zn 3.23-3.48, 8 Pt 3.25-3.38
Zn 0.0000 0.5000 0.3683  5 Pt 2.50-2.55
Zn 0.5000 0.0000 0.6317  5 Pt 2.50-2.55
Zn 0.5000 0.5000 0.0000  4 Pt 2.58
Zn 0.0000 0.0000 0.0000  4 Pt 2.58
Pt 0.5000 0.5000 0.5000  4 Zn 2.55
Pt 0.0000 0.0000 0.5000  4 Zn 2.55
Pt 0.0000 0.5000 0.1375  5 Zn 2.50-2.58
Pt 0.5000 0.0000 0.8625  5 Zn 2.50-2.58

Summary:
**D(E_F)**: 0.467 states/eV per atom
**Energy above the lowest structure with this stoichiometry**: 0.027 eV per atom
**E_form**: -3.8 eV/f.u.